A relaxed structure of La2HfNiO6, computed with PBE+U.

Cell: 5.697 5.697 5.697 Å, 60.00 60.00 60.00°
Sites, in units of the cell vectors:
La: 0.250 0.250 0.250
La: 0.750 0.750 0.750
Hf: 0.000 0.000 0.000
Ni: 0.500 0.500 0.500
O: 0.252 0.252 0.748
O: 0.252 0.748 0.252
O: 0.252 0.748 0.748
O: 0.748 0.252 0.252
O: 0.748 0.252 0.748
O: 0.748 0.748 0.252

## Properties
As for the volume: 131 Å³/cell. The value obtained for the density is 7.8 g/cm3. As for the crystal system: cubic. The calculation puts the density of states at the Fermi level at 0.00 states/eV/atom. The total DFT energy (no corrections) is -8.09 eV per atom. The spin magnetization comes out at 2.0 μB/f.u.